1.
La2GaNi: relaxed, GGA-PBE.

Structure (extended XYZ):
```
12
Lattice="4.434 0.000 0.000 -2.217 3.840 0.000 0.000 0.000 17.964" Properties=species:S:1:pos:R:3 pbc="T T T"
La 0.000 0.000 0.000
La 0.000 0.000 3.390
La 0.000 2.560 11.976
La 0.000 2.560 15.366
La 2.217 1.280 5.988
La 2.217 1.280 9.378
Ga 0.000 0.000 7.603
Ga 0.000 2.560 1.615
Ga 2.217 1.280 13.591
Ni 0.000 0.000 13.781
Ni 0.000 2.560 7.793
Ni 2.217 1.280 1.805
```

Total moment, μB per formula unit: 0.00
DFT formation energy, meV per atom: -407.5

=====

2.
LaGa4Ni2: relaxed, GGA-PBE.

Structure (extended XYZ):
```
14
Lattice="4.330 0.000 0.000 0.000 13.313 0.000 0.000 0.000 4.295" Properties=species:S:1:pos:R:3 pbc="T T T"
La 0.000 0.000 0.000
La 2.165 6.656 0.000
Ga 0.000 2.404 2.147
Ga 0.000 4.252 0.000
Ga 0.000 9.060 0.000
Ga 0.000 10.909 2.147
Ga 2.165 2.404 0.000
Ga 2.165 4.253 2.147
Ga 2.165 9.060 2.147
Ga 2.165 10.909 0.000
Ni 0.000 5.414 2.147
Ni 0.000 7.898 2.147
Ni 2.165 1.242 2.147
Ni 2.165 12.071 2.147
```

Polymorph energy (0 for the lowest one), eV/atom: 0.1507
Total moment, μB per formula unit: 0.00
DFT formation energy, meV per atom: -400.9

=====

3.
LaGa2Ni2: relaxed, GGA-PBE.

Structure (extended XYZ):
```
10
Lattice="0.000 5.321 6.500 2.615 0.000 6.500 2.615 5.321 0.000" Properties=species:S:1:pos:R:3 pbc="T T T"
La 0.654 1.330 1.625
La 4.576 9.313 11.375
Ga 1.961 1.940 4.875
Ga 3.268 4.601 8.125
Ga 1.961 6.042 4.875
Ga 3.268 8.703 8.125
Ni 1.961 3.991 3.557
Ni 1.961 3.991 6.192
Ni 3.268 6.652 6.807
Ni 3.268 6.652 9.442
```

Total moment, μB per formula unit: 0.00
DFT formation energy, meV per atom: -549.0